The following is a DFT calculation (PBE) of a geometry-optimized Ta2MnIn structure.

Calculated values
M_tot (μB per formula unit): 2.92
Crystal system: orthorhombic
ΔE_f (kJ/mol of atoms): 16.08
SG: No. 35

Cell: 2.8801 2.8801 8.8855 Å, 90.00 90.00 103.20°
Each line ends with the local moment (μB).
Fractional positions:
In1 0.0000 0.0000 0.5137  -0.05
Mn1 0.5000 0.5000 0.7597  2.98
Ta1 0.0000 0.0000 0.9858  -0.11
Ta2 0.5000 0.5000 0.2408  0.03